[1]
A plane-wave DFT calculation with PBE-GGA was carried out for a geometry-optimized La3Nd7Y2 structure.

It has space group R-3m (No. 166, hexagonal axes), with a = 6.7163 Å, b = 6.7163 Å, c = 34.2747 Å, α = 90.00°, β = 90.00° and γ = 120.00°. Symmetry generates all atoms from La at (0.0000, 0.0000, 0.0000), La at (0.0000, 0.0000, 0.1517), Nd at (0.0000, 0.0000, 0.5000), Nd at (0.0046, 0.5023, 0.9160) and Y at (0.0000, 0.0000, 0.3341).

Its crystal system is trigonal.

***

[2]
A plane-wave DFT calculation with PBE-GGA was carried out for a geometry-optimized NbAlI2O structure.

It has space group P4/mmm (No. 123), with a = 5.893 Å, b = 5.893 Å, c = 3.945 Å, α = 90.00°, β = 90.00° and γ = 90.00°. Symmetry generates all atoms from Nb at (0.000, 0.000, 0.000), Al at (0.500, 0.500, 0.500), I at (0.000, 0.500, 0.000) and O at (0.000, 0.000, 0.500).

The calculation puts the uncorrected formation energy at -2.614 eV/f.u. Its crystal system is tetragonal.

***

[3]
A plane-wave DFT calculation with PBE-GGA was carried out for a geometry-optimized SiHAu structure.

It has space group Pbcn (No. 60), with a = 13.007 Å, b = 4.674 Å, c = 6.437 Å, α = 90.00°, β = 90.00° and γ = 90.00°. Symmetry generates all atoms from Si at (0.089, 0.143, 0.214), H at (0.159, 0.309, 0.392) and Au at (0.119, 0.326, 0.861).

Its crystal system is orthorhombic.

***

[4]
A plane-wave DFT calculation with PBE-GGA was carried out for a geometry-optimized NbTeBr2 structure.

It has space group Immm (No. 71), with a = 3.516 Å, b = 5.459 Å, c = 13.077 Å, α = 90.00°, β = 90.00° and γ = 90.00°. Symmetry generates all atoms from Nb at (0.000, 0.000, 0.000), Te at (0.000, 0.500, 0.000) and Br at (0.000, 0.500, 0.348).

The calculation puts the uncorrected formation energy at -2.080 eV/f.u. Its crystal system is orthorhombic.

***

| no. | distance to the lowest polymorph of the same formula (eV/atom) | final energy (eV per cell) | total magnetic moment (μB/f.u.) |
| --- | --- | --- | --- |
| 1 | 0.170 | -174.2 | 0.005 |
| 2 | 0.000 | -24.5 | 1.756 |
| 3 | 0.163 | -90.7 | 0.000 |
| 4 | 0.000 | -37.3 | 0.379 |